Record 1
Compound: SmScNi
Source: Alexandria
Functional: GGA-PBE
Structure: optimized geometry

E_form = -0.73 eV/f.u.
M_tot = 0.00 Bohr magnetons per cell
Space-group type = Pnma, No. 62

Unit cell a=4.731 b=6.556 c=8.541 alpha=90.00 beta=90.00 gamma=90.00
Atoms (fractional coordinates):
Sc  0.750  0.495  0.339
Sc  0.750  0.995  0.161
Sc  0.250  0.005  0.839
Sc  0.250  0.505  0.661
Ni  0.250  0.714  0.413
Ni  0.750  0.286  0.587
Ni  0.750  0.786  0.913
Ni  0.250  0.214  0.087
Sm  0.750  0.852  0.593
Sm  0.750  0.352  0.907
Sm  0.250  0.648  0.093
Sm  0.250  0.148  0.407

Record 2
Compound: Sm2ScNi2
Source: Alexandria
Functional: GGA-PBE
Structure: optimized geometry

E_form = -1.67 eV/f.u.
M_tot = 0.00 Bohr magnetons per cell
Space-group type = C2/m, No. 12

Unit cell a=3.734 b=6.478 c=9.717 alpha=81.93 beta=78.92 gamma=73.25
Atoms (fractional coordinates):
Sm  0.337  0.248  0.079
Sm  0.461  0.388  0.689
Sm  0.663  0.752  0.921
Sm  0.539  0.612  0.311
Sc  0.789  0.055  0.367
Sc  0.211  0.945  0.633
Ni  0.000  0.121  0.879
Ni  0.120  0.310  0.450
Ni  0.000  0.879  0.121
Ni  0.880  0.690  0.550

Record 3
Compound: SmScNi
Source: Alexandria
Functional: GGA-PBE
Structure: optimized geometry

E_form = -0.67 eV/f.u.
M_tot = 0.00 Bohr magnetons per cell
Space-group type = I4mm, No. 107

Unit cell a=3.326 b=3.326 c=6.429 alpha=104.99 beta=104.99 gamma=90.00
Atoms (fractional coordinates):
Sc  0.293  0.293  0.585
Ni  0.683  0.683  0.367
Sm  0.024  0.024  0.048

Record 4
Compound: SmScNi
Source: Alexandria
Functional: GGA-PBE
Structure: optimized geometry

E_form = -0.34 eV/f.u.
M_tot = 0.00 Bohr magnetons per cell
Space-group type = F-43m, No. 216

Unit cell a=4.648 b=4.648 c=4.648 alpha=60.00 beta=60.00 gamma=60.00
Atoms (fractional coordinates):
Sc  0.500  0.500  0.500
Ni  0.250  0.250  0.250
Sm  0.000  0.000  0.000

Record 5
Compound: SmScNi
Source: Alexandria
Functional: GGA-PBE
Structure: optimized geometry

E_form = -0.81 eV/f.u.
M_tot = 0.00 Bohr magnetons per cell
Space-group type = C2/m, No. 12

Unit cell a=3.483 b=7.036 c=6.535 alpha=117.61 beta=90.01 gamma=75.71
Atoms (fractional coordinates):
Sm  0.692  0.540  0.035
Sm  0.124  0.675  0.602
Sc  0.408  0.108  0.558
Sc  0.408  0.107  0.079
Ni  0.800  0.323  0.426
Ni  0.016  0.892  0.211

Record 6
Compound: SmSc4Ni5
Source: Alexandria
Functional: GGA-PBE
Structure: optimized geometry

E_form = -4.45 eV/f.u.
M_tot = 0.00 Bohr magnetons per cell
Space-group type = P4/mmm, No. 123

Unit cell a=3.198 b=3.198 c=16.372 alpha=90.00 beta=90.00 gamma=90.00
Atoms (fractional coordinates):
Sm  0.000  0.000  0.000
Sc  0.000  0.000  0.211
Sc  0.000  0.000  0.404
Sc  0.000  0.000  0.596
Sc  0.000  0.000  0.789
Ni  0.500  0.500  0.122
Ni  0.500  0.500  0.308
Ni  0.500  0.500  0.500
Ni  0.500  0.500  0.692
Ni  0.500  0.500  0.878

Record 7
Compound: SmSc2Ni9
Source: Alexandria
Functional: GGA-PBE
Structure: optimized geometry

E_form = -5.18 eV/f.u.
M_tot = 0.03 Bohr magnetons per cell
Space-group type = R-3m, No. 166

Unit cell a=4.901 b=4.901 c=8.431 alpha=73.10 beta=73.10 gamma=60.00
Atoms (fractional coordinates):
Sm  0.000  0.000  0.000
Sc  0.858  0.858  0.425
Sc  0.142  0.142  0.575
Ni  0.667  0.667  0.000
Ni  0.333  0.333  0.000
Ni  0.500  0.500  0.500
Ni  0.413  0.413  0.256
Ni  0.918  0.413  0.256
Ni  0.413  0.918  0.256
Ni  0.587  0.587  0.744
Ni  0.587  0.082  0.744
Ni  0.082  0.587  0.744

Record 8
Compound: Sm3ScNi8
Source: Alexandria
Functional: GGA-PBE
Structure: optimized geometry

E_form = -4.71 eV/f.u.
M_tot = 0.00 Bohr magnetons per cell
Space-group type = R3m, No. 160

Unit cell a=5.067 b=5.067 c=8.809 alpha=73.28 beta=73.28 gamma=60.00
Atoms (fractional coordinates):
Sm  0.376  0.376  0.871
Sm  0.997  0.997  0.009
Sm  0.502  0.502  0.493
Sc  0.873  0.873  0.380
Ni  0.936  0.436  0.193
Ni  0.442  0.938  0.682
Ni  0.436  0.436  0.193
Ni  0.938  0.938  0.682
Ni  0.188  0.188  0.436
Ni  0.688  0.688  0.937
Ni  0.436  0.936  0.193
Ni  0.938  0.442  0.682

Record 9
Compound: SmSc3Ni8
Source: Alexandria
Functional: GGA-PBE
Structure: optimized geometry

E_form = -5.44 eV/f.u.
M_tot = 0.00 Bohr magnetons per cell
Space-group type = P3m1, No. 156

Unit cell a=4.959 b=4.959 c=8.101 alpha=90.00 beta=90.00 gamma=120.00
Atoms (fractional coordinates):
Sm  0.000  0.000  0.568
Sc  0.667  0.333  0.423
Sc  0.667  0.333  0.059
Sc  0.000  0.000  0.947
Ni  0.333  0.667  0.499
Ni  0.333  0.667  0.999
Ni  0.501  0.003  0.757
Ni  0.501  0.499  0.757
Ni  0.997  0.499  0.757
Ni  0.167  0.334  0.245
Ni  0.167  0.833  0.245
Ni  0.666  0.833  0.245

Record 10
Compound: SmSc5Ni2
Source: Alexandria
Functional: GGA-PBE
Structure: optimized geometry

E_form = -1.41 eV/f.u.
M_tot = 0.00 Bohr magnetons per cell
Space-group type = Cmcm, No. 63

Unit cell a=3.542 b=6.252 c=16.585 alpha=90.00 beta=90.00 gamma=106.46
Atoms (fractional coordinates):
Sm  0.643  0.286  0.750
Sm  0.357  0.714  0.250
Sc  0.942  0.884  0.899
Sc  0.942  0.884  0.601
Sc  0.344  0.688  0.456
Sc  0.344  0.688  0.044
Sc  0.621  0.243  0.250
Sc  0.379  0.757  0.750
Sc  0.656  0.312  0.544
Sc  0.656  0.312  0.956
Sc  0.058  0.116  0.101
Sc  0.058  0.116  0.399
Ni  0.737  0.474  0.379
Ni  0.737  0.474  0.121
Ni  0.263  0.526  0.621
Ni  0.263  0.526  0.879

Record 11
Compound: Sm2ScNi9
Source: Alexandria
Functional: GGA-PBE
Structure: optimized geometry

E_form = -4.04 eV/f.u.
M_tot = 1.99 Bohr magnetons per cell
Space-group type = P6_3/mmc, No. 194

Unit cell a=4.927 b=4.927 c=16.417 alpha=90.00 beta=90.00 gamma=120.00
Site moments in Bohr magnetons follow the coordinates.
Atoms (fractional coordinates):
Sm  0.333  0.667  0.545  -0.03
Sm  0.667  0.333  0.045  -0.03
Sm  0.667  0.333  0.455  -0.03
Sm  0.333  0.667  0.955  -0.03
Sc  0.333  0.667  0.750  -0.04
Sc  0.667  0.333  0.250  -0.04
Ni  0.000  0.000  0.000  0.06
Ni  0.000  0.000  0.500  0.06
Ni  0.000  0.000  0.250  0.21
Ni  0.000  0.000  0.750  0.21
Ni  0.333  0.667  0.250  0.16
Ni  0.667  0.333  0.750  0.16
Ni  0.167  0.333  0.130  0.13
Ni  0.667  0.833  0.130  0.13
Ni  0.167  0.833  0.130  0.13
Ni  0.833  0.667  0.630  0.13
Ni  0.333  0.167  0.630  0.13
Ni  0.833  0.167  0.630  0.13
Ni  0.333  0.167  0.870  0.13
Ni  0.833  0.667  0.870  0.13
Ni  0.833  0.167  0.870  0.13
Ni  0.667  0.833  0.370  0.13
Ni  0.167  0.333  0.370  0.13
Ni  0.167  0.833  0.370  0.13

Record 12
Compound: Sm2ScZn12Ni3
Source: Alexandria
Functional: GGA-PBE
Structure: optimized geometry

E_form = 2.02 eV/f.u.
M_tot = 0.00 Bohr magnetons per cell
Space-group type = R-3m, No. 166

Unit cell a=8.209 b=8.209 c=8.209 alpha=55.41 beta=55.41 gamma=55.41
Atoms (fractional coordinates):
Sm  0.591  0.591  0.591
Sm  0.409  0.409  0.409
Sc  0.000  0.000  0.000
Zn  0.233  0.233  0.863
Zn  0.836  0.836  0.480
Zn  0.480  0.836  0.836
Zn  0.863  0.233  0.233
Zn  0.836  0.480  0.836
Zn  0.233  0.863  0.233
Zn  0.767  0.767  0.137
Zn  0.164  0.164  0.520
Zn  0.520  0.164  0.164
Zn  0.137  0.767  0.767
Zn  0.164  0.520  0.164
Zn  0.767  0.137  0.767
Ni  0.500  0.000  0.000
Ni  0.000  0.500  0.000
Ni  0.000  0.000  0.500

Record 13
Compound: ScNi2Sn
Source: Alexandria
Functional: GGA-PBE
Structure: optimized geometry

E_form = -1.43 eV/f.u.
M_tot = 0.00 Bohr magnetons per cell
Space-group type = P4/mmm, No. 123

Unit cell a=3.279 b=3.279 c=5.972 alpha=90.00 beta=90.00 gamma=90.00
Atoms (fractional coordinates):
Sc  0.500  0.500  0.000
Ni  0.000  0.000  0.756
Ni  0.000  0.000  0.244
Sn  0.500  0.500  0.500

Record 14
Compound: ScNi2Sn2
Source: Alexandria
Functional: GGA-PBE
Structure: optimized geometry

E_form = -1.09 eV/f.u.
M_tot = 0.00 Bohr magnetons per cell
Space-group type = I4/mmm, No. 139

Unit cell a=4.446 b=4.446 c=5.698 alpha=67.04 beta=67.04 gamma=90.00
Atoms (fractional coordinates):
Sc  0.000  0.000  0.000
Ni  0.380  0.380  0.240
Ni  0.620  0.620  0.760
Sn  0.750  0.250  0.500
Sn  0.250  0.750  0.500

Record 15
Compound: Sc4NiSn
Source: Alexandria
Functional: GGA-PBE
Structure: optimized geometry

E_form = -1.84 eV/f.u.
M_tot = 0.00 Bohr magnetons per cell
Space-group type = C2/m, No. 12

Unit cell a=4.813 b=8.368 c=7.146 alpha=101.05 beta=109.68 gamma=90.00
Atoms (fractional coordinates):
Sc  0.678  0.059  0.856
Sc  0.821  0.441  0.144
Sc  0.322  0.941  0.144
Sc  0.179  0.559  0.856
Sc  0.050  0.850  0.600
Sc  0.449  0.650  0.400
Sc  0.950  0.150  0.400
Sc  0.551  0.350  0.600
Ni  0.500  0.000  0.500
Ni  0.000  0.500  0.500
Sn  0.751  0.750  0.000
Sn  0.249  0.250  0.000

Record 16
Compound: Sc2Ni4Sn
Source: Alexandria
Functional: GGA-PBE
Structure: optimized geometry

E_form = 2.64 eV/f.u.
M_tot = 0.00 Bohr magnetons per cell
Space-group type = I4/mmm, No. 139

Unit cell a=4.573 b=4.573 c=7.299 alpha=71.74 beta=71.74 gamma=90.00
Atoms (fractional coordinates):
Sc  0.627  0.627  0.745
Sc  0.373  0.373  0.255
Ni  0.806  0.806  0.389
Ni  0.194  0.194  0.611
Ni  0.000  0.500  0.000
Ni  0.500  0.000  0.000
Sn  0.000  0.000  0.000

Record 17
Compound: Sc3NiSn
Source: Alexandria
Functional: GGA-PBE
Structure: optimized geometry

E_form = -2.26 eV/f.u.
M_tot = 0.00 Bohr magnetons per cell
Space-group type = P6_3/mmc, No. 194

Unit cell a=4.989 b=7.039 c=7.039 alpha=119.98 beta=90.00 gamma=90.00
Atoms (fractional coordinates):
Sc  0.250  0.820  0.180
Sc  0.750  0.180  0.820
Sc  0.250  0.820  0.640
Sc  0.750  0.180  0.360
Sc  0.250  0.360  0.180
Sc  0.750  0.640  0.820
Ni  0.000  0.000  0.000
Ni  0.500  0.000  0.000
Sn  0.250  0.333  0.667
Sn  0.750  0.667  0.333

Record 18
Compound: ScNi2Sn
Source: Alexandria
Functional: GGA-PBE
Structure: optimized geometry

E_form = 0.13 eV/f.u.
M_tot = 0.00 Bohr magnetons per cell
Space-group type = I-42d, No. 122

Unit cell a=4.097 b=4.097 c=9.096 alpha=76.98 beta=76.98 gamma=90.00
Atoms (fractional coordinates):
Sc  0.500  0.500  0.000
Sc  0.250  0.750  0.500
Ni  0.654  0.125  0.250
Ni  0.096  0.625  0.250
Ni  0.375  0.346  0.750
Ni  0.875  0.904  0.750
Sn  0.000  0.000  0.000
Sn  0.750  0.250  0.500

Record 19
Compound: Sc2NiSn
Source: Alexandria
Functional: GGA-PBE
Structure: optimized geometry

E_form = -2.09 eV/f.u.
M_tot = 0.00 Bohr magnetons per cell
Space-group type = P4/mmm, No. 123

Unit cell a=3.291 b=3.291 c=7.172 alpha=90.00 beta=90.00 gamma=90.00
Atoms (fractional coordinates):
Sc  0.000  0.000  0.790
Sc  0.000  0.000  0.210
Ni  0.500  0.500  0.000
Sn  0.500  0.500  0.500

Record 20
Compound: Sc5NiSn
Source: Alexandria
Functional: GGA-PBE
Structure: optimized geometry

E_form = -1.41 eV/f.u.
M_tot = 0.00 Bohr magnetons per cell
Space-group type = C2/c, No. 15

Unit cell a=5.974 b=5.974 c=10.453 alpha=75.72 beta=75.72 gamma=63.36
Atoms (fractional coordinates):
Sc  0.966  0.595  0.142
Sc  0.209  0.545  0.543
Sc  0.595  0.966  0.642
Sc  0.965  0.035  0.250
Sc  0.455  0.791  0.957
Sc  0.545  0.209  0.043
Sc  0.035  0.965  0.750
Sc  0.405  0.034  0.358
Sc  0.791  0.455  0.457
Sc  0.034  0.405  0.858
Ni  0.000  0.000  0.000
Ni  0.000  0.000  0.500
Sn  0.459  0.541  0.250
Sn  0.541  0.459  0.750

Record 21
Compound: ScNiSn2
Source: Alexandria
Functional: GGA-PBE
Structure: optimized geometry

E_form = 0.20 eV/f.u.
M_tot = 0.00 Bohr magnetons per cell
Space-group type = R-3m, No. 166

Unit cell a=3.278 b=3.278 c=9.916 alpha=80.49 beta=80.49 gamma=60.00
Atoms (fractional coordinates):
Sc  0.000  0.000  0.000
Ni  0.500  0.500  0.500
Sn  0.102  0.102  0.694
Sn  0.898  0.898  0.306

Record 22
Compound: ScNiSn3
Source: Alexandria
Functional: GGA-PBE
Structure: optimized geometry

E_form = 0.35 eV/f.u.
M_tot = 0.00 Bohr magnetons per cell
Space-group type = Pm-3m, No. 221

Unit cell a=4.976 b=4.976 c=4.976 alpha=90.00 beta=90.00 gamma=90.00
Atoms (fractional coordinates):
Sc  0.500  0.500  0.500
Ni  0.000  0.000  0.000
Sn  0.000  0.500  0.000
Sn  0.000  0.000  0.500
Sn  0.500  0.000  0.000

Record 23
Compound: ScNi2Sn
Source: Alexandria
Functional: GGA-PBE
Structure: optimized geometry

E_form = -1.68 eV/f.u.
M_tot = 0.00 Bohr magnetons per cell
Space-group type = P4/mmm, No. 123

Unit cell a=3.435 b=4.284 c=4.284 alpha=90.00 beta=90.00 gamma=90.00
Atoms (fractional coordinates):
Sc  0.500  0.000  0.000
Ni  0.000  0.000  0.500
Ni  0.000  0.500  0.000
Sn  0.500  0.500  0.500